A plane-wave DFT calculation with GGA+U was carried out for a relaxed NaMoAsO6 crystal.

## Properties
The excess energy over the best structure of this formula in the dataset comes out at 0.0 kJ/mol of formula units. As for the density of states at the Fermi level: 0.00 states/eV/cell. Its theoretical density is 3.6 Mg/m³.

Lattice parameters (Å, degrees): 15.7449 6.6548 10.1827 90.00 90.00 90.00
Closest atoms and distances in Å follow each position.
Fractional coordinates of all 72 atoms:
Na: 0.0521 0.2326 0.0000  6 O 2.39-2.61
Na: 0.1948 0.7224 0.0351  5 O 2.34-2.60
Na: 0.3052 0.7224 0.5351  5 O 2.34-2.60
Na: 0.4479 0.2326 0.5000  6 O 2.39-2.61
Na: 0.5521 0.7674 0.0000  6 O 2.39-2.61
Na: 0.6948 0.2776 0.0351  5 O 2.34-2.60
Na: 0.8052 0.2776 0.5351  5 O 2.34-2.60
Na: 0.9479 0.7674 0.5000  6 O 2.39-2.61
Mo: 0.1017 0.4894 0.3349  2 O 1.74-1.75
Mo: 0.1477 0.9834 0.7057  2 O 1.74-1.75
Mo: 0.3523 0.9834 0.2057  2 O 1.74-1.75
Mo: 0.3983 0.4894 0.8349  2 O 1.74-1.75
Mo: 0.6017 0.5106 0.3349  2 O 1.74-1.75
Mo: 0.6477 0.0166 0.7057  2 O 1.74-1.75
Mo: 0.8523 0.0166 0.2057  2 O 1.74-1.75
Mo: 0.8983 0.5106 0.8349  2 O 1.74-1.75
As: 0.1007 0.4891 0.6796  4 O 1.70-1.74
As: 0.1492 0.9842 0.3602  4 O 1.70-1.73
As: 0.3508 0.9842 0.8602  4 O 1.70-1.73
As: 0.3993 0.4891 0.1796  4 O 1.70-1.74
As: 0.6007 0.5109 0.6796  4 O 1.70-1.74
As: 0.6492 0.0158 0.3602  4 O 1.70-1.73
As: 0.8508 0.0158 0.8602  4 O 1.70-1.73
As: 0.8993 0.5109 0.1796  4 O 1.70-1.74
O: 0.0368 0.4944 0.8156  1 As 1.71
O: 0.0460 0.4999 0.5360  1 As 1.70
O: 0.0469 0.9600 0.6373  1 Mo 1.74
O: 0.0749 0.7929 0.3458  1 As 1.73
O: 0.0852 0.1963 0.3545  1 As 1.73
O: 0.1212 0.4839 0.1653  1 Mo 1.75
O: 0.1275 0.9812 0.8751  1 Mo 1.75
O: 0.1647 0.2777 0.6881  1 As 1.73
O: 0.1745 0.6821 0.6930  1 As 1.74
O: 0.2023 0.5196 0.4023  1 Mo 1.74
O: 0.2034 0.9751 0.5044  1 As 1.70
O: 0.2138 0.9764 0.2254  1 As 1.71
O: 0.2862 0.9764 0.7254  1 As 1.71
O: 0.2966 0.9751 0.0044  1 As 1.70
O: 0.2977 0.5196 0.9023  1 Mo 1.74
O: 0.3255 0.6821 0.1930  1 As 1.74
O: 0.3353 0.2777 0.1881  1 As 1.73
O: 0.3725 0.9812 0.3751  1 Mo 1.75
O: 0.3788 0.4839 0.6653  1 Mo 1.75
O: 0.4148 0.1963 0.8545  1 As 1.73
O: 0.4251 0.7929 0.8458  1 As 1.73
O: 0.4531 0.9600 0.1373  1 Mo 1.74
O: 0.4540 0.4999 0.0360  1 As 1.70
O: 0.4632 0.4944 0.3156  1 As 1.71
O: 0.5368 0.5056 0.8156  1 As 1.71
O: 0.5460 0.5001 0.5360  1 As 1.70
O: 0.5469 0.0400 0.6373  1 Mo 1.74
O: 0.5749 0.2071 0.3458  1 As 1.73
O: 0.5852 0.8037 0.3545  1 As 1.73
O: 0.6212 0.5161 0.1653  1 Mo 1.75
O: 0.6275 0.0188 0.8751  1 Mo 1.75
O: 0.6647 0.7223 0.6881  1 As 1.73
O: 0.6745 0.3179 0.6930  1 As 1.74
O: 0.7023 0.4804 0.4023  1 Mo 1.74
O: 0.7034 0.0249 0.5044  1 As 1.70
O: 0.7138 0.0236 0.2254  1 As 1.71
O: 0.7862 0.0236 0.7254  1 As 1.71
O: 0.7966 0.0249 0.0044  1 As 1.70
O: 0.7977 0.4804 0.9023  1 Mo 1.74
O: 0.8255 0.3179 0.1930  1 As 1.74
O: 0.8353 0.7223 0.1881  1 As 1.73
O: 0.8725 0.0188 0.3751  1 Mo 1.75
O: 0.8788 0.5161 0.6653  1 Mo 1.75
O: 0.9148 0.8037 0.8545  1 As 1.73
O: 0.9251 0.2071 0.8458  1 As 1.73
O: 0.9531 0.0400 0.1373  1 Mo 1.74
O: 0.9540 0.5001 0.0360  1 As 1.70
O: 0.9632 0.5056 0.3156  1 As 1.71